# NdSm5Y2Th

Crystalline NdSm5Y2Th at its relaxed geometry (GGA-PBE, Alexandria via LeMat-Bulk).

Values from the calculation:
* energy relative to the elements: 158 meV per atom
* calculated volume: 1226.4 Å³ per cell

Unit cell a=5.7084 b=20.3170 c=10.5747 alpha=90.00 beta=90.00 gamma=90.00
Closest atoms and distances in Å follow each position.
Space group Cmc2_1 (No. 36)
Inequivalent atoms, fractional coordinates:
1 Nd 0.0000 0.0888 0.0000 x4  5 Sm 3.06-3.36
2 Sm 0.0000 0.0226 0.2917 x4  2 Nd 3.16-3.36, 2 Sm 3.51, 2 Y 3.53
3 Sm 0.0000 0.1095 0.5782 x4  5 Sm 3.51-3.84, 4 Y 3.59, 1 Th 3.85
4 Sm 0.0000 0.2057 0.2557 x4  3 Sm 3.41-3.74, 3 Th 3.50-3.76, 1 Nd 3.60, 3 Y 3.60-3.69
5 Sm 0.0000 0.2221 0.8644 x4  1 Nd 3.06, 1 Y 3.29, 2 Sm 3.41
6 Sm 0.0000 0.4830 0.5749 x4  2 Nd 3.30, 3 Y 3.45-3.64, 2 Sm 3.66
7 Y 0.0000 0.3840 0.8720 x4  8 Sm 3.29-3.60
8 Y 0.0000 0.3870 0.2846 x4  7 Sm 3.45-3.71, 1 Th 3.45, 2 Nd 3.69
9 Th 0.0000 0.2986 0.5636 x4  2 Y 3.45-3.69, 8 Sm 3.50-3.85, 2 Nd 3.72

# CsCaSi2Cl

Crystalline CsCaSi2Cl at its relaxed geometry (GGA-PBE, Alexandria via LeMat-Bulk).

Values from the calculation:
* calculated volume: 154.9 Å³ per cell
* formation energy (no corrections): 9.6 kcal/mol of atoms

Unit cell a=5.1597 b=5.1597 c=5.8171 alpha=90.00 beta=90.00 gamma=90.00
Closest atoms and distances in Å follow each position.
Space group P4/mmm (No. 123)
Inequivalent atoms, fractional coordinates:
1 Cs 0.0000 0.0000 0.0000 x1  2 Cl 2.91
2 Ca 0.5000 0.5000 0.0000 x1  4 Cs 3.65, 8 Si 3.89
3 Si 0.0000 0.5000 0.5000 x2  2 Cl 2.58
4 Cl 0.0000 0.0000 0.5000 x1  4 Si 2.58

# GdSb2

Crystalline GdSb2 at its relaxed geometry (GGA-PBE, Alexandria via LeMat-Bulk).

Values from the calculation:
* calculated volume: 164.8 Å³ per cell
* formation energy (no corrections): -15.1 kcal/mol of atoms

Unit cell a=4.0630 b=4.0630 c=9.9847 alpha=90.00 beta=90.00 gamma=90.00
Closest atoms and distances in Å follow each position.
Space group I4/mmm (No. 139)
Inequivalent atoms, fractional coordinates:
1 Gd 0.0000 0.0000 0.0000 x2  10 Sb 3.25-3.48
2 Sb 0.0000 0.0000 0.3481 x4  1 Sb 3.03, 4 Gd 3.25

# LiTmBr2

Crystalline LiTmBr2 at its relaxed geometry (GGA-PBE, Alexandria via LeMat-Bulk).

Values from the calculation:
* calculated volume: 330.1 Å³ per cell
* formation energy (no corrections): -27.1 kcal/mol of atoms

Unit cell a=3.8519 b=3.8519 c=25.6890 alpha=90.00 beta=90.00 gamma=120.00
Closest atoms and distances in Å follow each position.
Space group R-3m (No. 166, hexagonal axes)
Inequivalent atoms, fractional coordinates:
1 Li 0.0000 0.0000 0.0000 x3  6 Br 2.70
2 Tm 0.0000 0.0000 0.5000 x3  2 Br 2.75
3 Br 0.0000 0.0000 0.3930 x6  3 Li 2.70, 1 Tm 2.75

# TmPu2Mn

Crystalline TmPu2Mn at its relaxed geometry (GGA-PBE, Alexandria via LeMat-Bulk).

Values from the calculation:
* energy relative to the lowest polymorph listed for this composition: 1.05 eV per formula unit
* energy relative to the elements: 392 meV per atom
* calculated volume: 94.5 Å³ per cell

Unit cell a=4.2925 b=4.2925 c=5.1284 alpha=90.00 beta=90.00 gamma=90.00
Closest atoms and distances in Å follow each position.
Space group P4/mmm (No. 123)
Inequivalent atoms, fractional coordinates:
1 Tm 0.0000 0.0000 0.0000 x1  4 Mn 3.04, 8 Pu 3.34
2 Pu 0.0000 0.5000 0.5000 x2  4 Pu 3.04, 4 Mn 3.34, 4 Tm 3.34
3 Mn 0.5000 0.5000 0.0000 x1  4 Tm 3.04, 8 Pu 3.34

# YZrInIr2

Crystalline YZrInIr2 at its relaxed geometry (GGA-PBE, Alexandria via LeMat-Bulk).

Values from the calculation:
* energy relative to the elements: 862 meV per atom
* calculated volume: 130.1 Å³ per cell

Unit cell a=4.8982 b=4.8982 c=5.4245 alpha=90.00 beta=90.00 gamma=90.00
Closest atoms and distances in Å follow each position.
Space group P4/mmm (No. 123)
Inequivalent atoms, fractional coordinates:
1 Y 0.0000 0.0000 0.0000 x1  2 Zr 2.71
2 Zr 0.0000 0.0000 0.5000 x1  4 Ir 2.45, 2 Y 2.71
3 In 0.5000 0.5000 0.0000 x1  4 Y 3.46, 8 Ir 3.65
4 Ir 0.0000 0.5000 0.5000 x2  2 Zr 2.45

# La3VS

Crystalline La3VS at its relaxed geometry (GGA-PBE, Alexandria via LeMat-Bulk).

Values from the calculation:
* energy relative to the lowest polymorph listed for this composition: 0.00 eV per formula unit
* calculated volume: 166.4 Å³ per cell
* formation energy (no corrections): -6.9 kcal/mol of atoms

Unit cell a=5.4998 b=5.4998 c=5.4998 alpha=90.00 beta=90.00 gamma=90.00
Closest atoms and distances in Å follow each position.
Space group Pm-3m (No. 221)
Inequivalent atoms, fractional coordinates:
1 La 0.0000 0.0000 0.5000 x3  2 S 2.75
2 V 0.5000 0.5000 0.5000 x1  12 La 3.89
3 S 0.0000 0.0000 0.0000 x1  6 La 2.75

# CaAcAg2Sn2

Crystalline CaAcAg2Sn2 at its relaxed geometry (GGA-PBE, Alexandria via LeMat-Bulk).

Values from the calculation:
* energy relative to the elements: -556 meV per atom
* calculated volume: 162.2 Å³ per cell

Unit cell a=4.8564 b=4.8564 c=7.9427 alpha=90.00 beta=90.00 gamma=120.00
Closest atoms and distances in Å follow each position.
Space group P-3m1 (No. 164)
Inequivalent atoms, fractional coordinates:
1 Ca 0.0000 0.0000 0.0000 x1  6 Ag 3.23, 6 Sn 3.39
2 Ac 0.0000 0.0000 0.5000 x1  6 Sn 3.49, 6 Ag 3.67
3 Ag 0.3333 0.6667 0.2027 x2  3 Sn 2.82
4 Sn 0.3333 0.6667 0.7612 x2  3 Ag 2.82

# MgCo2Pb

Crystalline MgCo2Pb at its relaxed geometry (GGA-PBE, Alexandria via LeMat-Bulk).

Values from the calculation:
* energy relative to the elements: 223 meV per atom
* calculated volume: 71.5 Å³ per cell

Unit cell a=3.0950 b=3.0950 c=7.4629 alpha=90.00 beta=90.00 gamma=90.00
Closest atoms and distances in Å follow each position.
Space group P4mm (No. 99)
Inequivalent atoms, fractional coordinates:
1 Mg 0.0000 0.0000 0.0000 x1  5 Co 2.70-2.74
2 Co 0.0000 0.0000 0.6383 x1  4 Co 2.43, 1 Mg 2.70
3 Co 0.5000 0.5000 0.7800 x1  4 Co 2.43
4 Pb 0.5000 0.5000 0.3758 x1  5 Co 2.94-3.02, 4 Pb 3.09

# NbNF2

Crystalline NbNF2 at its relaxed geometry (GGA-PBE, Alexandria via LeMat-Bulk).

Values from the calculation:
* energy relative to the lowest polymorph listed for this composition: 0.00 eV per formula unit
* calculated volume: 151.7 Å³ per cell
* formation energy (no corrections): -12.5 kcal/mol of atoms

Unit cell a=5.3334 b=5.3334 c=5.3334 alpha=90.00 beta=90.00 gamma=90.00
Closest atoms and distances in Å follow each position.
Space group Fm-3m (No. 225)
Inequivalent atoms, fractional coordinates:
1 Nb 0.0000 0.0000 0.0000 x4  8 F 2.31
2 N 0.0000 0.0000 0.5000 x4  8 F 2.31
3 F 0.2500 0.2500 0.2500 x8  4 Nb 2.31, 4 N 2.31

# Nd6Ge2Se3S

Crystalline Nd6Ge2Se3S at its relaxed geometry (GGA-PBE, Alexandria via LeMat-Bulk).

Values from the calculation:
* calculated volume: 648.9 Å³ per cell
* formation energy (no corrections): -36.9 kcal/mol of atoms

Unit cell a=18.5348 b=4.2416 c=8.4999 alpha=90.00 beta=103.80 gamma=90.00
Closest atoms and distances in Å follow each position.
Space group C2/m (No. 12)
Inequivalent atoms, fractional coordinates:
1 Nd 0.0035 0.0000 0.2435 x4  1 Ge 2.92, 2 S 2.95, 3 Se 3.05-3.06
2 Nd 0.1641 0.5000 0.0898 x4  2 Ge 2.94, 1 S 2.95, 3 Se 3.04-3.06
3 Nd 0.1685 0.5000 0.5776 x4  3 Ge 2.98-2.99, 3 Se 3.03-3.05
4 Ge 0.1655 0.0000 0.3305 x4  6 Nd 2.92-2.99
5 Se 0.0000 0.5000 0.5000 x2  6 Nd 3.03-3.05
6 Se 0.1662 0.0000 0.8343 x4  6 Nd 3.04-3.06
7 S 0.0000 0.5000 0.0000 x2  6 Nd 2.95